A relaxed structure of SrNdMgWO6. Source: Alexandria, functional GGA+U.

Properties
As for the crystal system: cubic. The value obtained for the total energy is -7.109 eV per atom. The space group is F-43m, No. 216.

Unit cell a=5.6463 b=5.6463 c=5.6463 alpha=60.00 beta=60.00 gamma=60.00
Closest atoms and distances in Å follow each position.
Sites, in units of the cell vectors:
W: 0.5000 0.5000 0.5000  6 O 1.98
Sr: 0.7500 0.7500 0.7500  12 O 2.82
Nd: 0.2500 0.2500 0.2500  12 O 2.82
Mg: 0.0000 0.0000 0.0000  6 O 2.01
O: 0.2523 0.7477 0.7477  1 W 1.98, 1 Mg 2.01
O: 0.7477 0.7477 0.2523  1 W 1.98, 1 Mg 2.01
O: 0.2523 0.7477 0.2523  1 W 1.98, 1 Mg 2.01
O: 0.7477 0.2523 0.2523  1 W 1.98, 1 Mg 2.01
O: 0.7477 0.2523 0.7477  1 W 1.98, 1 Mg 2.01
O: 0.2523 0.2523 0.7477  1 W 1.98, 1 Mg 2.01